Entry 1:
Density functional theory data (PBE-GGA) for crystalline AcTb2Pr6Y3 at its relaxed geometry.

CIF file:
```
data_AcTb2Pr6Y3
_symmetry_space_group_name_H-M 'C 1 2/m 1'
_symmetry_Int_Tables_number 12
_cell_length_a 6.382
_cell_length_b 11.056
_cell_length_c 12.124
_cell_angle_alpha 90.00
_cell_angle_beta 100.11
_cell_angle_gamma 90.00
loop_
_symmetry_equiv_pos_as_xyz
'x,y,z'
'-x,-y,-z'
'-x,y,-z'
'x,-y,z'
'x+1/2,y+1/2,z'
'-x+1/2,-y+1/2,-z'
'-x+1/2,y+1/2,-z'
'x+1/2,-y+1/2,z'
loop_
_atom_site_label
_atom_site_type_symbol
_atom_site_fract_x
_atom_site_fract_y
_atom_site_fract_z
_atom_site_occupancy
Ac1 Ac 0.000 0.000 0.000 1
Tb1 Tb 0.000 0.334 0.000 1
Pr1 Pr 0.247 0.332 0.746 1
Pr2 Pr 0.249 0.500 0.254 1
Y1 Y 0.000 0.167 0.500 1
Y2 Y 0.000 0.500 0.500 1
```

## Properties
Calculated total energy = -5.0988 eV per atom
ΔH_f (0 K) = 0.25 eV per formula unit

Entry 2:
Density functional theory data (PBE-GGA) for crystalline PuTlAg2Br8 at its relaxed geometry.

CIF file:
```
data_PuTlAg2Br8
_symmetry_space_group_name_H-M 'I -4 m 2'
_symmetry_Int_Tables_number 119
_symmetry_space_group_name_Hall 'I -4 -2'
_cell_length_a 9.269
_cell_length_b 9.269
_cell_length_c 9.614
_cell_angle_alpha 90.00
_cell_angle_beta 90.00
_cell_angle_gamma 90.00
loop_
_atom_site_label
_atom_site_type_symbol
_atom_site_fract_x
_atom_site_fract_y
_atom_site_fract_z
_atom_site_occupancy
Pu1 Pu 0.000 0.000 0.000 1
Tl1 Tl 0.000 0.500 0.250 1
Ag1 Ag 0.000 0.000 0.500 1
Ag2 Ag 0.000 0.500 0.750 1
Br1 Br 0.000 0.177 0.281 1
Br2 Br 0.000 0.300 0.949 1
```

## Properties
Raw formation energy = -0.72 eV/atom
Calculated total energy = -3.6997 eV per atom

Entry 3:
Density functional theory data (PBE-GGA) for crystalline ThZn4Ag at its relaxed geometry.

CIF file:
```
data_ThZn4Ag
_symmetry_space_group_name_H-M 'F -4 3 m'
_symmetry_Int_Tables_number 216
_symmetry_space_group_name_Hall 'F -4 2 3'
_cell_length_a 7.677
_cell_length_b 7.677
_cell_length_c 7.677
_cell_angle_alpha 90.00
_cell_angle_beta 90.00
_cell_angle_gamma 90.00
loop_
_atom_site_label
_atom_site_type_symbol
_atom_site_fract_x
_atom_site_fract_y
_atom_site_fract_z
_atom_site_occupancy
Th1 Th 0.000 0.000 0.000 1
Zn1 Zn 0.125 0.125 0.625 1
Ag1 Ag 0.250 0.250 0.250 1
```

## Properties
Excess energy over the best structure of this formula in the dataset = 0.0746 eV/atom
Calculated total energy = -2.6297 eV per atom
ΔH_f (0 K) = -0.41 eV per formula unit

Entry 4:
Density functional theory data (PBE-GGA) for crystalline DyYPSe at its relaxed geometry.

CIF file:
```
data_DyYPSe
_symmetry_space_group_name_H-M 'R 3 m'
_symmetry_Int_Tables_number 160
_symmetry_space_group_name_Hall 'R 3 -2"'
_cell_length_a 3.9723
_cell_length_b 3.9723
_cell_length_c 20.9229
_cell_angle_alpha 90.00
_cell_angle_beta 90.00
_cell_angle_gamma 120.00
loop_
_atom_site_label
_atom_site_type_symbol
_atom_site_fract_x
_atom_site_fract_y
_atom_site_fract_z
_atom_site_occupancy
Dy1 Dy 0.0000 0.0000 0.0000 1
Y1 Y 0.0000 0.0000 0.1850 1
P1 P 0.0000 0.0000 0.5943 1
Se1 Se 0.0000 0.0000 0.4245 1
```

## Properties
Raw formation energy = -1.73 eV/atom
Calculated total energy = -6.7160 eV per atom

Entry 5:
Density functional theory data (PBE-GGA) for crystalline Er2HfBi2N2 at its relaxed geometry.

CIF file:
```
data_Er2HfBi2N2
_symmetry_space_group_name_H-M 'I 4/m m m'
_symmetry_Int_Tables_number 139
_symmetry_space_group_name_Hall '-I 4 2'
_cell_length_a 4.194
_cell_length_b 4.194
_cell_length_c 16.704
_cell_angle_alpha 90.00
_cell_angle_beta 90.00
_cell_angle_gamma 90.00
loop_
_atom_site_label
_atom_site_type_symbol
_atom_site_fract_x
_atom_site_fract_y
_atom_site_fract_z
_atom_site_occupancy
Er1 Er 0.000 0.000 0.093 1
Hf1 Hf 0.000 0.000 0.500 1
Bi1 Bi 0.000 0.000 0.311 1
N1 N 0.000 0.500 0.000 1
```

## Properties
Raw formation energy = -1.02 eV/atom
Calculated total energy = -7.2283 eV per atom

Entry 6:
Density functional theory data (PBE-GGA) for crystalline Fe3Pd2Pt2 at its relaxed geometry.

CIF file:
```
data_Fe3Pd2Pt2
_symmetry_space_group_name_H-M 'C 1 2/m 1'
_symmetry_Int_Tables_number 12
_cell_length_a 8.628
_cell_length_b 3.798
_cell_length_c 6.155
_cell_angle_alpha 90.00
_cell_angle_beta 98.07
_cell_angle_gamma 90.00
loop_
_symmetry_equiv_pos_as_xyz
'x,y,z'
'-x,-y,-z'
'-x,y,-z'
'x,-y,z'
'x+1/2,y+1/2,z'
'-x+1/2,-y+1/2,-z'
'-x+1/2,y+1/2,-z'
'x+1/2,-y+1/2,z'
loop_
_atom_site_label
_atom_site_type_symbol
_atom_site_fract_x
_atom_site_fract_y
_atom_site_fract_z
_atom_site_occupancy
Fe1 Fe 0.000 0.000 0.000 1
Fe2 Fe 0.213 0.500 0.147 1
Pd1 Pd 0.142 0.000 0.421 1
Pt1 Pt 0.076 0.500 0.742 1
```

## Properties
Calculated total energy = -6.9760 eV per atom
ΔH_f (0 K) = -0.98 eV per formula unit

Entry 7:
Density functional theory data (PBE-GGA) for crystalline Ce6Au3C at its relaxed geometry.

CIF file:
```
data_Ce6Au3C
_symmetry_space_group_name_H-M 'C 1 2/m 1'
_symmetry_Int_Tables_number 12
_cell_length_a 10.976
_cell_length_b 6.824
_cell_length_c 6.993
_cell_angle_alpha 90.00
_cell_angle_beta 109.43
_cell_angle_gamma 90.00
loop_
_symmetry_equiv_pos_as_xyz
'x,y,z'
'-x,-y,-z'
'-x,y,-z'
'x,-y,z'
'x+1/2,y+1/2,z'
'-x+1/2,-y+1/2,-z'
'-x+1/2,y+1/2,-z'
'x+1/2,-y+1/2,z'
loop_
_atom_site_label
_atom_site_type_symbol
_atom_site_fract_x
_atom_site_fract_y
_atom_site_fract_z
_atom_site_occupancy
Ce1 Ce 0.121 0.224 0.357 1
Ce2 Ce 0.182 0.000 0.847 1
Au1 Au 0.000 0.500 0.000 1
Au2 Au 0.137 0.500 0.714 1
C1 C 0.000 0.000 0.500 1
```

## Properties
Calculated total energy = -5.7749 eV per atom
ΔH_f (0 K) = -3.09 eV per formula unit

Entry 8:
Density functional theory data (PBE-GGA) for crystalline Fe3Br at its relaxed geometry.

CIF file:
```
data_Fe3Br
_symmetry_space_group_name_H-M 'P 63/m m c'
_symmetry_Int_Tables_number 194
_symmetry_space_group_name_Hall '-P 6c 2c'
_cell_length_a 6.2233
_cell_length_b 6.2233
_cell_length_c 4.1017
_cell_angle_alpha 90.00
_cell_angle_beta 90.00
_cell_angle_gamma 120.00
loop_
_atom_site_label
_atom_site_type_symbol
_atom_site_fract_x
_atom_site_fract_y
_atom_site_fract_z
_atom_site_occupancy
Fe1 Fe 0.1302 0.2603 0.2500 1
Br1 Br 0.3333 0.6667 0.7500 1
```

## Properties
Raw formation energy = 0.56 eV/atom
Excess energy over the best structure of this formula in the dataset = 0.1797 eV/atom
Calculated total energy = -6.2019 eV per atom